A relaxed KPb4Br crystal, computed with GGA-PBE.

Computed properties:
E_form (uncorrected) = -0.74 eV/f.u.
DOS(E_F) = 0.797 states/eV per atom
total energy = -18.34 eV per formula unit
theoretical density = 7.6 g cm⁻³

Cell: 9.390 9.390 9.390 Å, 90.00 90.00 90.00°
Space group F-43m (No. 216)
Symmetry-distinct sites (fractional):
K 0.000 0.000 0.000
Pb 0.126 0.126 0.626
Br 0.250 0.250 0.250